Compound: Sr2CaCuH
Source: Alexandria
Functional: PBE
Structure: optimized geometry

```
data_Sr2CaCuH
_symmetry_space_group_name_H-M 'P 4/m m m'
_symmetry_Int_Tables_number 123
_symmetry_space_group_name_Hall '-P 4 2'
_cell_length_a 5.426
_cell_length_b 5.426
_cell_length_c 4.692
_cell_angle_alpha 90.00
_cell_angle_beta 90.00
_cell_angle_gamma 90.00
loop_
_atom_site_label
_atom_site_type_symbol
_atom_site_fract_x
_atom_site_fract_y
_atom_site_fract_z
_atom_site_occupancy
Sr1 Sr 0.000 0.500 0.000 1
Ca1 Ca 0.000 0.000 0.500 1
Cu1 Cu 0.500 0.500 0.500 1
H1 H 0.000 0.000 0.000 1
```

Results
ρ   3.4 g/cm3
Volume   27.63 A^3/atom
Electronic total energy   -12.9 eV per cell


Compound: Ca2ZnCuH
Source: Alexandria
Functional: PBE
Structure: optimized geometry

```
data_Ca2ZnCuH
_symmetry_space_group_name_H-M 'P 4/m m m'
_symmetry_Int_Tables_number 123
_symmetry_space_group_name_Hall '-P 4 2'
_cell_length_a 4.873
_cell_length_b 4.873
_cell_length_c 3.949
_cell_angle_alpha 90.00
_cell_angle_beta 90.00
_cell_angle_gamma 90.00
loop_
_atom_site_label
_atom_site_type_symbol
_atom_site_fract_x
_atom_site_fract_y
_atom_site_fract_z
_atom_site_occupancy
Ca1 Ca 0.000 0.500 0.000 1
Zn1 Zn 0.000 0.000 0.500 1
Cu1 Cu 0.500 0.500 0.500 1
H1 H 0.000 0.000 0.000 1
```

Results
ρ   3.7 g/cm3
Volume   18.75 A^3/atom
E above lowest polymorph   6.0 kJ per mole of atoms


Compound: Ca2ZnCuH
Source: Alexandria
Functional: PBE
Structure: optimized geometry

```
data_Ca2ZnCuH
_symmetry_space_group_name_H-M 'P 4/m m m'
_symmetry_Int_Tables_number 123
_symmetry_space_group_name_Hall '-P 4 2'
_cell_length_a 5.086
_cell_length_b 5.086
_cell_length_c 3.650
_cell_angle_alpha 90.00
_cell_angle_beta 90.00
_cell_angle_gamma 90.00
loop_
_atom_site_label
_atom_site_type_symbol
_atom_site_fract_x
_atom_site_fract_y
_atom_site_fract_z
_atom_site_occupancy
Ca1 Ca 0.000 0.500 0.000 1
Zn1 Zn 0.000 0.000 0.500 1
Cu1 Cu 0.500 0.500 0.500 1
H1 H 0.500 0.500 0.000 1
```

Results
ρ   3.7 g/cm3
Volume   18.89 A^3/atom
E above lowest polymorph   0.0 kJ per mole of atoms


Compound: CaHfCu2
Source: Alexandria
Functional: PBE
Structure: optimized geometry

```
data_CaHfCu2
_symmetry_space_group_name_H-M 'I -4 2 d'
_symmetry_Int_Tables_number 122
_symmetry_space_group_name_Hall 'I -4 2bw'
_cell_length_a 7.247
_cell_length_b 7.247
_cell_length_c 6.759
_cell_angle_alpha 90.00
_cell_angle_beta 90.00
_cell_angle_gamma 90.00
loop_
_atom_site_label
_atom_site_type_symbol
_atom_site_fract_x
_atom_site_fract_y
_atom_site_fract_z
_atom_site_occupancy
Ca1 Ca 0.000 0.000 0.000 1
Hf1 Hf 0.000 0.000 0.500 1
Cu1 Cu 0.220 0.750 0.625 1
```

Results
ρ   6.5 g/cm3
Volume   22.19 A^3/atom
E above lowest polymorph   50.5 kJ per mole of atoms
DFT formation energy   42 kJ per mole of atoms


Compound: CaHfCu2
Source: Alexandria
Functional: PBE
Structure: optimized geometry

```
data_CaHfCu2
_symmetry_space_group_name_H-M 'F m -3 m'
_symmetry_Int_Tables_number 225
_symmetry_space_group_name_Hall '-F 4 2 3'
_cell_length_a 6.706
_cell_length_b 6.706
_cell_length_c 6.706
_cell_angle_alpha 90.00
_cell_angle_beta 90.00
_cell_angle_gamma 90.00
loop_
_atom_site_label
_atom_site_type_symbol
_atom_site_fract_x
_atom_site_fract_y
_atom_site_fract_z
_atom_site_occupancy
Ca1 Ca 0.000 0.000 0.000 1
Hf1 Hf 0.000 0.000 0.500 1
Cu1 Cu 0.250 0.250 0.250 1
```

Results
ρ   7.6 g/cm3
Volume   18.85 A^3/atom
E above lowest polymorph   15.2 kJ per mole of atoms
DFT formation energy   7 kJ per mole of atoms


Compound: CaHf2Cu
Source: Alexandria
Functional: PBE
Structure: optimized geometry

```
data_CaHf2Cu
_symmetry_space_group_name_H-M 'I -4 2 d'
_symmetry_Int_Tables_number 122
_symmetry_space_group_name_Hall 'I -4 2bw'
_cell_length_a 4.083
_cell_length_b 4.083
_cell_length_c 22.169
_cell_angle_alpha 90.00
_cell_angle_beta 90.00
_cell_angle_gamma 90.00
loop_
_atom_site_label
_atom_site_type_symbol
_atom_site_fract_x
_atom_site_fract_y
_atom_site_fract_z
_atom_site_occupancy
Ca1 Ca 0.000 0.000 0.000 1
Hf1 Hf 0.234 0.250 0.625 1
Cu1 Cu 0.000 0.000 0.500 1
```

Results
ρ   8.3 g/cm3
Volume   23.10 A^3/atom
E above lowest polymorph   2.2 kJ per mole of atoms
DFT formation energy   58 kJ per mole of atoms


Compound: CaHfCu2
Source: Alexandria
Functional: PBE
Structure: optimized geometry

```
data_CaHfCu2
_symmetry_space_group_name_H-M 'P 4/m m m'
_symmetry_Int_Tables_number 123
_symmetry_space_group_name_Hall '-P 4 2'
_cell_length_a 3.350
_cell_length_b 3.350
_cell_length_c 6.944
_cell_angle_alpha 90.00
_cell_angle_beta 90.00
_cell_angle_gamma 90.00
loop_
_atom_site_label
_atom_site_type_symbol
_atom_site_fract_x
_atom_site_fract_y
_atom_site_fract_z
_atom_site_occupancy
Ca1 Ca 0.000 0.000 0.000 1
Hf1 Hf 0.000 0.000 0.500 1
Cu1 Cu 0.500 0.500 0.300 1
```

Results
ρ   7.4 g/cm3
Volume   19.49 A^3/atom
E above lowest polymorph   0.0 kJ per mole of atoms
DFT formation energy   -8 kJ per mole of atoms


Compound: CaHfCu2
Source: Alexandria
Functional: PBE
Structure: optimized geometry

```
data_CaHfCu2
_symmetry_space_group_name_H-M 'P 4/m m m'
_symmetry_Int_Tables_number 123
_symmetry_space_group_name_Hall '-P 4 2'
_cell_length_a 4.824
_cell_length_b 4.824
_cell_length_c 3.226
_cell_angle_alpha 90.00
_cell_angle_beta 90.00
_cell_angle_gamma 90.00
loop_
_atom_site_label
_atom_site_type_symbol
_atom_site_fract_x
_atom_site_fract_y
_atom_site_fract_z
_atom_site_occupancy
Ca1 Ca 0.000 0.000 0.000 1
Hf1 Hf 0.500 0.500 0.000 1
Cu1 Cu 0.000 0.500 0.500 1
```

Results
ρ   7.6 g/cm3
Volume   18.77 A^3/atom
E above lowest polymorph   8.2 kJ per mole of atoms
DFT formation energy   0 kJ per mole of atoms


Compound: Ca2HfCu
Source: Alexandria
Functional: PBE
Structure: optimized geometry

```
data_Ca2HfCu
_symmetry_space_group_name_H-M 'I -4 2 d'
_symmetry_Int_Tables_number 122
_symmetry_space_group_name_Hall 'I -4 2bw'
_cell_length_a 8.542
_cell_length_b 8.542
_cell_length_c 5.883
_cell_angle_alpha 90.00
_cell_angle_beta 90.00
_cell_angle_gamma 90.00
loop_
_atom_site_label
_atom_site_type_symbol
_atom_site_fract_x
_atom_site_fract_y
_atom_site_fract_z
_atom_site_occupancy
Ca1 Ca 0.183 0.750 0.125 1
Hf1 Hf 0.000 0.000 0.500 1
Cu1 Cu 0.000 0.000 0.000 1
```

Results
ρ   5.0 g/cm3
Volume   26.83 A^3/atom
E above lowest polymorph   0.0 kJ per mole of atoms
DFT formation energy   57 kJ per mole of atoms


Compound: Ca2HfCu
Source: Alexandria
Functional: PBE
Structure: optimized geometry

```
data_Ca2HfCu
_symmetry_space_group_name_H-M 'F m -3 m'
_symmetry_Int_Tables_number 225
_symmetry_space_group_name_Hall '-F 4 2 3'
_cell_length_a 7.472
_cell_length_b 7.472
_cell_length_c 7.472
_cell_angle_alpha 90.00
_cell_angle_beta 90.00
_cell_angle_gamma 90.00
loop_
_atom_site_label
_atom_site_type_symbol
_atom_site_fract_x
_atom_site_fract_y
_atom_site_fract_z
_atom_site_occupancy
Ca1 Ca 0.250 0.250 0.250 1
Hf1 Hf 0.000 0.000 0.000 1
Cu1 Cu 0.000 0.000 0.500 1
```

Results
ρ   5.1 g/cm3
Volume   26.07 A^3/atom
E above lowest polymorph   4.8 kJ per mole of atoms
DFT formation energy   61 kJ per mole of atoms


Compound: CaHf2Cu
Source: Alexandria
Functional: PBE
Structure: optimized geometry

```
data_CaHf2Cu
_symmetry_space_group_name_H-M 'F m -3 m'
_symmetry_Int_Tables_number 225
_symmetry_space_group_name_Hall '-F 4 2 3'
_cell_length_a 6.945
_cell_length_b 6.945
_cell_length_c 6.945
_cell_angle_alpha 90.00
_cell_angle_beta 90.00
_cell_angle_gamma 90.00
loop_
_atom_site_label
_atom_site_type_symbol
_atom_site_fract_x
_atom_site_fract_y
_atom_site_fract_z
_atom_site_occupancy
Ca1 Ca 0.000 0.000 0.000 1
Hf1 Hf 0.250 0.250 0.250 1
Cu1 Cu 0.000 0.000 0.500 1
```

Results
ρ   9.1 g/cm3
Volume   20.94 A^3/atom
E above lowest polymorph   0.0 kJ per mole of atoms
DFT formation energy   55 kJ per mole of atoms


Compound: CaHfCu3
Source: Alexandria
Functional: PBE
Structure: optimized geometry

```
data_CaHfCu3
_symmetry_space_group_name_H-M 'P m -3 m'
_symmetry_Int_Tables_number 221
_symmetry_space_group_name_Hall '-P 4 2 3'
_cell_length_a 4.928
_cell_length_b 4.928
_cell_length_c 4.928
_cell_angle_alpha 90.00
_cell_angle_beta 90.00
_cell_angle_gamma 90.00
loop_
_atom_site_label
_atom_site_type_symbol
_atom_site_fract_x
_atom_site_fract_y
_atom_site_fract_z
_atom_site_occupancy
Ca1 Ca 0.000 0.000 0.000 1
Hf1 Hf 0.500 0.500 0.500 1
Cu1 Cu 0.000 0.500 0.500 1
```

Results
ρ   5.7 g/cm3
Volume   23.93 A^3/atom
E above lowest polymorph   0.0 kJ per mole of atoms
DFT formation energy   59 kJ per mole of atoms